No. 1
The following is a PBE-GGA calculation of crystalline Sr4Cd3Pb at its relaxed geometry, from the Alexandria database.

Cell lengths 8.1493, 8.1544, 16.2849 Å; angles 90.00, 90.00, 90.00 degrees
Last column: nearest neighbours and their distance in Å.
Space group Fmmm (No. 69)
Symmetry-distinct sites (fractional):
Sr (0.2500, 0.2500, 0.1259) x16  6 Cd 3.51-3.54, 2 Pb 3.54
Cd (0.0000, 0.0000, 0.0000) x4  8 Sr 3.54
Cd (0.0000, 0.0000, 0.2493) x8  8 Sr 3.51-3.53
Pb (0.0000, 0.0000, 0.5000) x4  8 Sr 3.54

Summary:
* energy of formation: -409 meV per atom
* crystal system: orthorhombic
* total moment: 0.0000 μB/atom
* electronic total energy: -2.06 eV per atom


No. 2
The following is a PBE-GGA calculation of crystalline TaZnBr2 at its relaxed geometry, from the Alexandria database.

Cell lengths 6.7233, 6.7233, 6.7233 Å; angles 90.00, 90.00, 90.00 degrees
Last column: nearest neighbours and their distance in Å.
Space group Fm-3m (No. 225)
Symmetry-distinct sites (fractional):
Ta (0.0000, 0.0000, 0.0000) x4  8 Br 2.91
Zn (0.0000, 0.0000, 0.5000) x4  8 Br 2.91
Br (0.2500, 0.2500, 0.2500) x8  4 Ta 2.91, 4 Zn 2.91

Summary:
* energy above the most stable polymorph in this dataset: 3.00 eV/f.u.
* crystal system: cubic
* total moment: 0.0000 μB/atom
* electronic total energy: -3.55 eV per atom


No. 3
The following is a PBE-GGA calculation of crystalline Sm5Tl4Cd at its relaxed geometry, from the Alexandria database.

Cell lengths 3.8345, 3.8345, 19.4473 Å; angles 90.00, 90.00, 90.00 degrees
Last column: nearest neighbours and their distance in Å.
Space group P4/mmm (No. 123)
Symmetry-distinct sites (fractional):
Sm (0.0000, 0.0000, 0.0000) x1  8 Tl 3.35
Sm (0.0000, 0.0000, 0.2014) x2  8 Tl 3.34-3.37
Sm (0.0000, 0.0000, 0.4037) x2  4 Cd 3.30, 4 Tl 3.33
Tl (0.5000, 0.5000, 0.1007) x2  8 Sm 3.34-3.35
Tl (0.5000, 0.5000, 0.3041) x2  8 Sm 3.33-3.37
Cd (0.5000, 0.5000, 0.5000) x1  8 Sm 3.30

Summary:
* energy of formation: -367 meV per atom
* crystal system: tetragonal
* total moment: 0.0001 μB/atom
* electronic total energy: -3.77 eV per atom


No. 4
The following is a PBE-GGA calculation of crystalline Re2PdI at its relaxed geometry, from the Alexandria database.

Cell lengths 6.4148, 6.4148, 6.4148 Å; angles 90.00, 90.00, 90.00 degrees
Last column: nearest neighbours and their distance in Å.
Space group Fm-3m (No. 225)
Symmetry-distinct sites (fractional):
Re (0.2500, 0.2500, 0.2500) x8  4 I 2.78, 4 Pd 2.78
Pd (0.0000, 0.0000, 0.0000) x4  8 Re 2.78
I (0.0000, 0.0000, 0.5000) x4  8 Re 2.78

Summary:
* energy above the most stable polymorph in this dataset: 0.44 eV/f.u.
* crystal system: cubic
* total moment: 0.0000 μB/atom
* electronic total energy: -6.76 eV per atom